--- w ---
A plane-wave DFT calculation with PBE was carried out for a geometry-optimized Ti2PbSe2 structure.

```
10
Lattice="7.626 0.000 0.000 0.000 7.626 0.000 0.000 0.000 3.321" Properties=species:S:1:pos:R:3 pbc="T T T"
Ti 1.073 2.740 0.000
Ti 2.740 6.553 0.000
Ti 4.885 1.073 0.000
Ti 6.553 4.885 0.000
Pb 0.000 0.000 0.000
Pb 3.813 3.813 0.000
Se 1.057 4.869 1.661
Se 2.756 1.057 1.661
Se 4.869 6.569 1.661
Se 6.569 2.756 1.661
```

---

--- x ---
A plane-wave DFT calculation with PBE was carried out for a geometry-optimized Ti2PbSe2 structure.

```
5
Lattice="-2.316 2.316 5.059 2.316 -2.316 5.059 2.316 2.316 -5.059" Properties=species:S:1:pos:R:3 pbc="T T T"
Ti 2.316 0.000 2.529
Ti 0.000 2.316 2.529
Pb 0.000 0.000 0.000
Se 0.000 0.000 3.542
Se 0.000 0.000 6.576
```

---

Quick one: least stable of them? x

---

--- w ---
A plane-wave DFT calculation with PBE was carried out for a geometry-optimized Ti2PbSe structure.

```
8
Lattice="-2.861 2.861 6.752 2.861 -2.861 6.752 2.861 2.861 -6.752" Properties=species:S:1:pos:R:3 pbc="T T T"
Ti 4.292 1.167 -1.688
Ti 1.167 1.431 1.688
Ti -1.431 1.694 5.064
Ti 1.694 1.431 8.440
Pb 2.861 0.000 3.376
Pb 0.000 0.000 6.752
Se 0.000 0.000 0.000
Se 0.000 2.861 3.376
```

---

--- x ---
A plane-wave DFT calculation with PBE was carried out for a geometry-optimized Ti2PbSe structure.

```
4
Lattice="0.000 3.377 3.377 3.377 0.000 3.377 3.377 3.377 0.000" Properties=species:S:1:pos:R:3 pbc="T T T"
Ti 1.689 1.689 1.689
Ti 5.066 5.066 5.066
Pb 0.000 0.000 0.000
Se 3.377 3.377 3.377
```

---

--- y ---
A plane-wave DFT calculation with PBE was carried out for a geometry-optimized Ti2PbSe structure.

```
4
Lattice="1.825 1.054 6.967 -1.825 1.054 6.967 0.000 -2.107 6.967" Properties=species:S:1:pos:R:3 pbc="T T T"
Ti 0.000 0.000 0.000
Ti 0.000 0.000 4.185
Pb 0.000 0.000 9.024
Se 0.000 0.000 12.555
```

---

Quick one: least stable of them? w

---

--- w ---
A plane-wave DFT calculation with PBE was carried out for a geometry-optimized Ti4PbSe8 structure.

```
13
Lattice="0.000 5.438 5.438 5.438 0.000 5.438 5.438 5.438 0.000" Properties=species:S:1:pos:R:3 pbc="T T T"
Ti 4.239 4.239 4.239
Ti 6.637 6.637 4.239
Ti 6.637 4.239 6.637
Ti 4.239 6.637 6.637
Pb 0.000 0.000 0.000
Se 6.772 4.104 4.104
Se 1.580 1.580 1.580
Se 3.858 3.858 1.580
Se 3.858 1.580 3.858
Se 1.580 3.858 3.858
Se 4.104 6.772 4.104
Se 4.104 4.104 6.772
Se 6.772 6.772 6.772
```

---

--- x ---
A plane-wave DFT calculation with PBE was carried out for a geometry-optimized Ti4PbSe8 structure.

```
13
Lattice="3.587 2.071 7.467 -3.587 2.071 7.467 0.000 -4.142 7.467" Properties=species:S:1:pos:R:3 pbc="T T T"
Ti 0.000 0.000 0.000
Ti -1.793 -1.035 7.467
Ti -1.793 1.035 14.933
Ti 0.000 2.071 7.467
Pb 0.000 0.000 11.200
Se 0.000 -2.090 9.020
Se -1.810 1.045 9.020
Se -1.810 -1.045 13.380
Se 0.000 0.000 5.938
Se 0.000 0.000 16.462
Se 1.810 1.045 9.020
Se 1.810 -1.045 13.380
Se 0.000 2.090 13.380
```

---

Quick one: least stable of them? w